Here is a relaxed structure of PmPuMg from the Alexandria database. Energies are from PBE.

Computed properties:
Theoretical density (Mg/m³): 8.04
Fermi-level density of states (states/eV per cell): 34.1
E (hartree per atom): -0.2488
SG: C2/m
ΔE_f (meV/atom): 121
E above lowest polymorph (meV per atom): 0

Unit cell a=11.4624 b=5.4713 c=6.4520 alpha=90.00 beta=122.47 gamma=90.00
Atoms (fractional coordinates):
Pm: 0.1780 0.0000 0.1264
Pm: 0.3220 0.5000 0.8736
Pm: 0.6780 0.5000 0.1264
Pm: 0.8220 0.0000 0.8736
Pu: 0.0137 0.5000 0.2629
Pu: 0.4863 0.0000 0.7371
Pu: 0.5137 0.0000 0.2629
Pu: 0.9863 0.5000 0.7371
Mg: 0.1508 0.0000 0.6014
Mg: 0.3492 0.5000 0.3986
Mg: 0.6508 0.5000 0.6014
Mg: 0.8492 0.0000 0.3986